Record 1
Here is crystalline Sc2GaB2Ir5 at its relaxed geometry from Alexandria via LeMat-Bulk. Energies are from PBEsol.

formation energy	-8.57	eV per formula unit
total DFT energy (no corrections)	-8.83	eV/atom

Structure (POSCAR):
```
Sc2GaB2Ir5
1.0
3.039 0.000 0.000
0.000 9.315 0.000
0.000 0.000 9.315
Sc Ga B Ir
4 2 4 10
direct
0.000 0.676 0.176
0.000 0.324 0.824
0.000 0.176 0.324
0.000 0.824 0.676
0.000 0.000 0.000
0.000 0.500 0.500
0.000 0.124 0.624
0.000 0.876 0.376
0.000 0.624 0.876
0.000 0.376 0.124
0.500 0.216 0.070
0.500 0.784 0.930
0.500 0.070 0.784
0.500 0.716 0.430
0.500 0.930 0.216
0.500 0.284 0.570
0.500 0.570 0.716
0.500 0.430 0.284
0.500 0.500 0.000
0.500 0.000 0.500
```

***

Record 2
Here is crystalline ScTeBrN2 at its relaxed geometry from Alexandria via LeMat-Bulk. Energies are from PBEsol.

formation energy without anion corrections	0.66	eV per atom
total DFT energy (no corrections)	-5.15	eV/atom

Structure (POSCAR):
```
ScTeBrN2
1.0
-2.405 2.661 2.042
-2.859 -0.313 -2.959
-2.574 -4.609 2.975
Sc Te Br N
1 1 1 2
direct
0.000 0.000 0.000
0.000 0.000 0.500
0.500 0.500 0.500
0.000 0.500 0.000
0.500 0.000 0.000
```

***

Record 3
Here is crystalline MgAlW2 at its relaxed geometry from Alexandria via LeMat-Bulk. Energies are from PBEsol.

excess energy over the best structure of this formula in the dataset	138	meV per atom
formation energy	1.27	eV per formula unit
total DFT energy (no corrections)	-8.04	eV/atom

Structure (POSCAR):
```
MgAlW2
1.0
-0.642 2.428 0.971
-4.229 0.042 -2.901
-0.453 -2.000 4.701
Al Mg W
1 1 2
direct
0.500 0.000 0.000
0.500 0.500 0.500
0.000 0.500 0.000
0.000 0.000 0.500
```

***

Look up the total DFT energy (no corrections) of the third one.
-8.04 eV/atom

***

What did the third record say?
Here is crystalline MgAlW2 at its relaxed geometry from Alexandria via LeMat-Bulk. Energies are from PBEsol.

excess energy over the best structure of this formula in the dataset	138	meV per atom
formation energy	1.27	eV per formula unit
total DFT energy (no corrections)	-8.04	eV/atom

Structure (POSCAR):
```
MgAlW2
1.0
-0.642 2.428 0.971
-4.229 0.042 -2.901
-0.453 -2.000 4.701
Al Mg W
1 1 2
direct
0.500 0.000 0.000
0.500 0.500 0.500
0.000 0.500 0.000
0.000 0.000 0.500
```

***

Look up the total DFT energy (no corrections) of the first one.
-8.83 eV/atom

***

Number 1 is which compound?
Sc2GaB2Ir5